Be2GeO4: single point on PBEsol structure, meta-GGA SCAN.

Summary:
Volume: 9.5 Å³ per atom
Magnetic moment: 0.000 Bohr magnetons per cell
Total DFT energy (no corrections): -10.05 eV per atom

a b c (Å): 7.894 7.894 7.894
angles (deg): 108.01 108.01 108.01
Atoms (fractional coordinates):
Be (0.891, 0.069, 0.293)
Be (0.707, 0.109, 0.931)
Be (0.629, 0.222, 0.394)
Be (0.931, 0.707, 0.109)
Be (0.606, 0.371, 0.778)
Be (0.778, 0.606, 0.371)
Be (0.222, 0.394, 0.629)
Be (0.394, 0.629, 0.222)
Be (0.069, 0.293, 0.891)
Be (0.371, 0.778, 0.606)
Be (0.293, 0.891, 0.069)
Be (0.109, 0.931, 0.707)
Ge (0.963, 0.555, 0.731)
Ge (0.269, 0.037, 0.445)
Ge (0.445, 0.269, 0.037)
Ge (0.555, 0.731, 0.963)
Ge (0.731, 0.963, 0.555)
Ge (0.037, 0.445, 0.269)
O (0.836, 0.136, 0.806)
O (0.752, 0.089, 0.409)
O (0.864, 0.194, 0.164)
O (0.911, 0.591, 0.248)
O (0.789, 0.456, 0.479)
O (0.456, 0.126, 0.169)
O (0.831, 0.544, 0.874)
O (0.591, 0.248, 0.911)
O (0.521, 0.211, 0.544)
O (0.544, 0.521, 0.211)
O (0.194, 0.164, 0.864)
O (0.874, 0.831, 0.544)
O (0.126, 0.169, 0.456)
O (0.806, 0.836, 0.136)
O (0.456, 0.479, 0.789)
O (0.479, 0.789, 0.456)
O (0.409, 0.752, 0.089)
O (0.169, 0.456, 0.126)
O (0.544, 0.874, 0.831)
O (0.211, 0.544, 0.521)
O (0.089, 0.409, 0.752)
O (0.136, 0.806, 0.836)
O (0.248, 0.911, 0.591)
O (0.164, 0.864, 0.194)